Entry 1:
# TbCeHoHg, relaxed, DFT PBE
# Formation energy in meV per atom: 12
# Crystal system: cubic
data_TbCeHoHg
_cell_length_a 7.527
_cell_length_b 7.527
_cell_length_c 7.527
_cell_angle_alpha 90.00
_cell_angle_beta 90.00
_cell_angle_gamma 90.00
_space_group_name_H-M_alt 'F -4 3 m'
_space_group_IT_number 216
_space_group_name_Hall 'F -4 2 3'
loop_
_atom_site_label
_atom_site_fract_x
_atom_site_fract_y
_atom_site_fract_z
_atom_site_occupancy
Tb1 0.000 0.000 0.000 1
Ce1 0.250 0.250 0.250 1
Ho1 0.000 0.000 0.500 1
Hg1 0.250 0.250 0.750 1



Entry 2:
# CeHoTcHg, relaxed, DFT PBE
# Formation energy in meV per atom: -108
# Crystal system: cubic
data_CeHoTcHg
_cell_length_a 7.178
_cell_length_b 7.178
_cell_length_c 7.178
_cell_angle_alpha 90.00
_cell_angle_beta 90.00
_cell_angle_gamma 90.00
_space_group_name_H-M_alt 'F -4 3 m'
_space_group_IT_number 216
_space_group_name_Hall 'F -4 2 3'
loop_
_atom_site_label
_atom_site_fract_x
_atom_site_fract_y
_atom_site_fract_z
_atom_site_occupancy
Ce1 0.000 0.000 0.000 1
Ho1 0.000 0.000 0.500 1
Tc1 0.250 0.250 0.250 1
Hg1 0.250 0.250 0.750 1



Entry 3:
# Ce2HoTh2Hg5, relaxed, DFT PBE
# Formation energy in meV per atom: -127
# Crystal system: tetragonal
data_Ce2HoTh2Hg5
_cell_length_a 10.887
_cell_length_b 10.887
_cell_length_c 4.678
_cell_angle_alpha 90.00
_cell_angle_beta 90.00
_cell_angle_gamma 90.00
_space_group_name_H-M_alt 'P 4/m b m'
_space_group_IT_number 127
_space_group_name_Hall '-P 4 2ab'
loop_
_atom_site_label
_atom_site_fract_x
_atom_site_fract_y
_atom_site_fract_z
_atom_site_occupancy
Ce1 0.133 0.367 0.000 1
Ho1 0.000 0.000 0.000 1
Th1 0.175 0.675 0.000 1
Hg1 0.000 0.500 0.500 1
Hg2 0.103 0.173 0.500 1



Entry 4:
# CeHoTm2Hg4, relaxed, DFT PBE
# Formation energy in meV per atom: -418
# Crystal system: trigonal
data_CeHoTm2Hg4
_cell_length_a 5.2596
_cell_length_b 5.2596
_cell_length_c 25.9329
_cell_angle_alpha 90.00
_cell_angle_beta 90.00
_cell_angle_gamma 120.00
_space_group_name_H-M_alt 'R -3 m'
_space_group_IT_number 166
_space_group_name_Hall '-R 3 2"'
loop_
_atom_site_label
_atom_site_fract_x
_atom_site_fract_y
_atom_site_fract_z
_atom_site_occupancy
Ce1 0.0000 0.0000 0.0000 1
Ho1 0.0000 0.0000 0.5000 1
Tm1 0.0000 0.0000 0.2500 1
Hg1 0.0000 0.0000 0.1272 1
Hg2 0.0000 0.0000 0.3780 1



Entry 5:
# Ce2HoZn2Hg2, relaxed, DFT PBE
# Formation energy in meV per atom: -257
# Crystal system: trigonal
data_Ce2HoZn2Hg2
_cell_length_a 4.5578
_cell_length_b 4.5578
_cell_length_c 26.7395
_cell_angle_alpha 90.00
_cell_angle_beta 90.00
_cell_angle_gamma 120.00
_space_group_name_H-M_alt 'R -3 m'
_space_group_IT_number 166
_space_group_name_Hall '-R 3 2"'
loop_
_atom_site_label
_atom_site_fract_x
_atom_site_fract_y
_atom_site_fract_z
_atom_site_occupancy
Ce1 0.0000 0.0000 0.1416 1
Ho1 0.0000 0.0000 0.0000 1
Zn1 0.0000 0.0000 0.4085 1
Hg1 0.0000 0.0000 0.2678 1



Entry 6:
# CeHg2I, relaxed, DFT PBE
# Crystal system: trigonal
data_CeHg2I
_cell_length_a 3.7430
_cell_length_b 3.7430
_cell_length_c 34.1273
_cell_angle_alpha 90.00
_cell_angle_beta 90.00
_cell_angle_gamma 120.00
_space_group_name_H-M_alt 'R -3 m'
_space_group_IT_number 166
_space_group_name_Hall '-R 3 2"'
loop_
_atom_site_label
_atom_site_fract_x
_atom_site_fract_y
_atom_site_fract_z
_atom_site_occupancy
Ce1 0.0000 0.0000 0.0000 1
Hg1 0.0000 0.0000 0.0920 1
I1 0.0000 0.0000 0.5000 1



Entry 7:
# Ce7HgI12, relaxed, DFT PBE
# Crystal system: trigonal
data_Ce7HgI12
_cell_length_a 16.4033
_cell_length_b 16.4033
_cell_length_c 10.7287
_cell_angle_alpha 90.00
_cell_angle_beta 90.00
_cell_angle_gamma 120.00
_space_group_name_H-M_alt 'R -3'
_space_group_IT_number 148
_space_group_name_Hall '-R 3'
loop_
_atom_site_label
_atom_site_fract_x
_atom_site_fract_y
_atom_site_fract_z
_atom_site_occupancy
Ce1 0.0000 0.0000 0.0000 1
Ce2 0.0482 0.1690 0.3314 1
Hg1 0.0000 0.0000 0.5000 1
I1 0.0264 0.5895 0.1650 1
I2 0.0532 0.1881 0.8433 1



Entry 8:
# CeHgI4, relaxed, DFT PBE
# Crystal system: monoclinic
data_CeHgI4
_cell_length_a 11.029
_cell_length_b 16.997
_cell_length_c 7.684
_cell_angle_alpha 90.00
_cell_angle_beta 115.05
_cell_angle_gamma 90.00
_space_group_name_H-M_alt 'C 1 2/c 1'
_space_group_IT_number 15
_space_group_name_Hall '-C 2yc'
loop_
_atom_site_label
_atom_site_fract_x
_atom_site_fract_y
_atom_site_fract_z
_atom_site_occupancy
Ce1 0.000 0.077 0.250 1
Hg1 0.000 0.432 0.750 1
I1 0.173 0.059 0.686 1
I2 0.185 0.191 0.215 1



Entry 9:
# CeHgI3, relaxed, DFT PBE
# Crystal system: cubic
# E above lowest polymorph in meV per atom: 82
data_CeHgI3
_cell_length_a 6.259
_cell_length_b 6.259
_cell_length_c 6.259
_cell_angle_alpha 90.00
_cell_angle_beta 90.00
_cell_angle_gamma 90.00
_space_group_name_H-M_alt 'P m -3 m'
_space_group_IT_number 221
_space_group_name_Hall '-P 4 2 3'
loop_
_atom_site_label
_atom_site_fract_x
_atom_site_fract_y
_atom_site_fract_z
_atom_site_occupancy
Ce1 0.000 0.000 0.000 1
Hg1 0.500 0.500 0.500 1
I1 0.000 0.000 0.500 1



Entry 10:
# CeHgI2, relaxed, DFT PBE
# Crystal system: trigonal
data_CeHgI2
_cell_length_a 4.2165
_cell_length_b 4.2165
_cell_length_c 37.2276
_cell_angle_alpha 90.00
_cell_angle_beta 90.00
_cell_angle_gamma 120.00
_space_group_name_H-M_alt 'R -3 m'
_space_group_IT_number 166
_space_group_name_Hall '-R 3 2"'
loop_
_atom_site_label
_atom_site_fract_x
_atom_site_fract_y
_atom_site_fract_z
_atom_site_occupancy
Ce1 0.0000 0.0000 0.0000 1
Hg1 0.0000 0.0000 0.5000 1
I1 0.0000 0.0000 0.3897 1



Entry 11:
# Ce6HgI8, relaxed, DFT PBE
# Crystal system: trigonal
data_Ce6HgI8
_cell_length_a 7.5890
_cell_length_b 7.5890
_cell_length_c 34.9163
_cell_angle_alpha 90.00
_cell_angle_beta 90.00
_cell_angle_gamma 120.00
_space_group_name_H-M_alt 'R -3'
_space_group_IT_number 148
_space_group_name_Hall '-R 3'
loop_
_atom_site_label
_atom_site_fract_x
_atom_site_fract_y
_atom_site_fract_z
_atom_site_occupancy
Ce1 0.0000 0.3298 0.4471 1
Hg1 0.0000 0.0000 0.5000 1
I1 0.0000 0.0000 0.1667 1
I2 0.9999 0.3345 0.6109 1



Entry 12:
# CeHgI3, relaxed, DFT PBE
# Crystal system: trigonal
# E above lowest polymorph in meV per atom: 0
data_CeHgI3
_cell_length_a 8.0378
_cell_length_b 8.0378
_cell_length_c 30.9116
_cell_angle_alpha 90.00
_cell_angle_beta 90.00
_cell_angle_gamma 120.00
_space_group_name_H-M_alt 'R -3'
_space_group_IT_number 148
_space_group_name_Hall '-R 3'
loop_
_atom_site_label
_atom_site_fract_x
_atom_site_fract_y
_atom_site_fract_z
_atom_site_occupancy
Ce1 0.0000 0.0000 0.1668 1
Hg1 0.0000 0.0000 0.3389 1
I1 0.0003 0.3606 0.5588 1



no.,electronic total energy (eV/atom),calculated volume (A^3/atom)
1,-3.8489,26.65
2,-5.4027,23.11
3,-3.4060,27.73
4,-3.0006,25.89
5,-3.0563,22.91
6,-1.9254,34.51
7,-4.1298,41.67
8,-2.9779,54.37
9,-3.1545,49.05
10,-3.2320,47.77
11,-4.2069,38.70
12,-3.2369,57.65